Record 1
# Pr7PdBr12

Crystalline Pr7PdBr12 at its relaxed geometry (PBE, the Alexandria database).

Calculated values
As for the spin magnetization: 0.000 μB/atom. The crystal system is trigonal. As for the symmetry: R-3. For the uncorrected energy, the calculation gives -0.3333 Ry per atom. The formation energy (no corrections) is -1599 meV per atom.

Cell and atoms, written as POSCAR:
```
Pr7PdBr12
1.0
-7.891 -1.465 5.301
1.813 -8.068 -4.913
7.360 1.539 5.998
Pr Pd Br
7 1 12
Cartesian
0.110 -5.481 7.095
-2.101 -1.372 1.375
1.546 0.038 2.407
0.641 -3.997 3.193
-0.264 -8.031 3.979
3.384 -6.621 5.011
1.172 -2.512 -0.709
0.000 0.000 0.000
-0.988 -2.668 8.057
-4.483 -2.660 3.021
-0.597 -1.416 4.082
-1.660 -5.331 4.575
3.473 0.135 4.922
2.303 -3.812 5.680
-1.020 -4.182 0.705
-2.190 -8.128 1.464
2.942 -2.662 1.811
1.879 -6.577 2.304
5.766 -5.333 3.365
2.270 -5.325 -1.671
```

Record 2
# AlMoOs3

Crystalline AlMoOs3 at its relaxed geometry (PBE, the Alexandria database).

Calculated values
As for the spin magnetization: 0.000 μB/atom. The crystal system is cubic. As for the symmetry: Pm-3m. The value obtained for the formation energy is 10.56 eV per formula unit. For the uncorrected energy, the calculation gives -0.5542 Ry per atom. The energy relative to the lowest polymorph listed for this composition comes out at 577 meV/atom.

Cell and atoms, written as POSCAR:
```
AlMoOs3
1.0
4.672 0.000 0.000
0.000 4.672 0.000
0.000 0.000 4.672
Mo Os Al
1 3 1
Cartesian
0.000 0.000 0.000
0.000 2.336 0.000
0.000 0.000 2.336
2.336 0.000 0.000
2.336 2.336 2.336
```

Record 3
# SnSb

Crystalline SnSb at its relaxed geometry (PBE, the Alexandria database).

Calculated values
As for the spin magnetization: 0.000 μB/atom. The crystal system is trigonal. As for the symmetry: R3m. For the uncorrected energy, the calculation gives -0.2964 Ry per atom. The formation energy (no corrections) is 30 meV per atom.

Cell and atoms, written as POSCAR:
```
SnSb
1.0
4.299 0.000 1.061
2.018 3.795 1.061
0.113 0.068 8.780
Sn Sb
2 2
Cartesian
5.638 3.387 4.873
0.120 0.072 8.753
2.546 1.530 8.162
1.110 0.667 4.742
```

Record 4
# TmSi3Pd

Crystalline TmSi3Pd at its relaxed geometry (PBE, the Alexandria database).

Calculated values
As for the spin magnetization: 0.000 μB/atom. The crystal system is monoclinic. As for the symmetry: P2_1/m. For the uncorrected energy, the calculation gives -0.4206 Ry per atom. The formation energy (no corrections) is -536 meV per atom.

Cell and atoms, written as POSCAR:
```
TmSi3Pd
1.0
-2.733 -3.233 -3.489
0.286 -3.779 4.036
-4.771 1.825 2.047
Tm Si Pd
2 6 2
Cartesian
-3.901 -1.699 3.518
-3.317 -3.487 -0.924
-6.244 -3.431 2.966
-3.145 -0.926 0.559
-1.929 -2.834 1.729
-0.974 -1.756 -0.372
-5.289 -2.353 0.865
-4.073 -4.261 2.035
-6.231 -2.242 -1.429
-0.987 -2.945 4.023
```

Record 5
# Sm2Dy3Y4

Crystalline Sm2Dy3Y4 at its relaxed geometry (PBE, the Alexandria database).

Calculated values
As for the spin magnetization: 0.000 μB/atom. The crystal system is monoclinic. As for the symmetry: C2/c. The value obtained for the formation energy is 0.85 eV per formula unit. For the uncorrected energy, the calculation gives -0.3941 Ry per atom.

Cell and atoms, written as POSCAR:
```
Sm2Dy3Y4
1.0
5.801 1.662 1.190
2.300 11.048 0.761
2.300 4.280 10.214
Sm Dy Y
4 6 8
Cartesian
4.175 5.524 6.018
3.326 8.682 8.279
6.227 11.466 6.147
7.075 8.308 3.886
5.163 3.137 3.648
8.139 13.357 10.965
5.238 13.853 8.516
2.262 3.634 1.199
3.750 8.723 4.886
6.651 8.267 7.279
4.957 11.506 3.111
2.544 9.507 1.680
5.444 5.485 9.053
7.858 7.484 10.485
1.772 3.586 4.533
5.729 10.712 9.636
8.630 13.405 7.631
4.672 6.278 2.529
```

Record 6
# KHIr3

Crystalline KHIr3 at its relaxed geometry (PBE, the Alexandria database).

Calculated values
As for the spin magnetization: 0.970 μB/atom. The crystal system is cubic. As for the symmetry: Pm-3m. For the uncorrected energy, the calculation gives -0.1785 Ry per atom. The energy relative to the lowest polymorph listed for this composition comes out at 2825 meV/atom.

Cell and atoms, written as POSCAR:
```
KHIr3
1.0
4.885 0.000 0.000
0.000 4.885 0.000
0.000 0.000 4.885
H K Ir
1 1 3
Cartesian
2.443 2.443 2.443
0.000 0.000 0.000
0.000 2.443 0.000
0.000 0.000 2.443
2.443 0.000 0.000
```

Record 7
# NaYZr

Crystalline NaYZr at its relaxed geometry (PBE, the Alexandria database).

Calculated values
As for the spin magnetization: 1.113 μB/atom. The crystal system is cubic. As for the symmetry: F-43m. The value obtained for the formation energy is 3.76 eV per formula unit. For the uncorrected energy, the calculation gives -0.3081 Ry per atom. The energy relative to the lowest polymorph listed for this composition comes out at 1158 meV/atom.

Cell and atoms, written as POSCAR:
```
NaYZr
1.0
-1.657 -4.474 2.370
-1.299 0.047 5.166
-5.095 -0.506 1.469
Y Na Zr
1 1 1
Cartesian
-6.039 -3.700 6.754
-2.013 -1.233 2.251
-4.026 -2.466 4.503
```

Record 8
# SmAl2Sb

Crystalline SmAl2Sb at its relaxed geometry (PBE, the Alexandria database).

Calculated values
As for the spin magnetization: 0.000 μB/atom. The crystal system is tetragonal. As for the symmetry: P4/mmm. For the uncorrected energy, the calculation gives -0.3286 Ry per atom. The formation energy (no corrections) is -389 meV per atom.

Cell and atoms, written as POSCAR:
```
SmAl2Sb
1.0
4.402 0.000 0.000
0.000 4.553 0.000
0.000 0.000 4.553
Sb Al Sm
1 2 1
Cartesian
2.201 0.000 0.000
0.000 0.000 2.276
0.000 2.276 0.000
2.201 2.276 2.276
```

Record 9
# Pm2PrTaN4

Crystalline Pm2PrTaN4 at its relaxed geometry (PBE, the Alexandria database).

Calculated values
As for the spin magnetization: 0.000 μB/atom. The crystal system is orthorhombic. As for the symmetry: Cmcm. For the uncorrected energy, the calculation gives -0.6320 Ry per atom. The formation energy (no corrections) is -1169 meV per atom.

Cell and atoms, written as POSCAR:
```
Pm2PrTaN4
1.0
-1.837 0.769 2.852
-0.617 -6.299 -0.820
10.123 -1.908 7.035
Pm Pr Ta N
4 2 2 8
Cartesian
4.268 -5.390 4.203
-0.978 -1.222 1.821
3.402 -2.047 4.864
8.647 -6.216 7.246
7.287 -2.606 5.397
0.382 -4.832 3.671
5.640 -5.029 7.111
2.029 -2.408 1.957
0.502 -3.359 1.230
4.726 -3.619 6.141
7.167 -4.079 7.838
2.943 -3.819 2.926
5.062 -0.954 3.518
0.000 0.000 0.000
6.263 -6.550 5.801
1.406 -0.887 3.266
```

Record 10
# SrTb2Pr3Se6

Crystalline SrTb2Pr3Se6 at its relaxed geometry (PBE, the Alexandria database).

Calculated values
As for the spin magnetization: 0.000 μB/atom. The crystal system is monoclinic. As for the symmetry: C2/m. For the uncorrected energy, the calculation gives -0.4179 Ry per atom. The formation energy (no corrections) is -1836 meV per atom.

Cell and atoms, written as POSCAR:
```
SrTb2Pr3Se6
1.0
7.282 -0.004 0.001
-3.643 6.305 0.001
-1.212 -2.099 6.997
Sr Tb Pr Se
1 2 3 6
Cartesian
0.000 0.000 0.000
-0.002 4.202 0.001
3.641 2.099 0.001
-2.499 4.245 3.500
4.926 -0.043 3.500
1.213 2.101 3.500
3.680 2.037 5.301
2.391 4.140 1.645
-1.253 2.165 1.698
-0.075 4.205 5.301
0.035 0.061 5.355
2.502 -0.003 1.698
```

Record 11
# BaNi2C

Crystalline BaNi2C at its relaxed geometry (PBE, the Alexandria database).

Calculated values
As for the spin magnetization: 0.000 μB/atom. The crystal system is tetragonal. As for the symmetry: I4_1/amd. The value obtained for the formation energy is 0.50 eV per formula unit. For the uncorrected energy, the calculation gives -0.4081 Ry per atom.

Cell and atoms, written as POSCAR:
```
BaNi2C
1.0
-2.220 -1.807 -5.205
5.509 -0.695 -2.108
1.668 -5.210 -2.292
Ni C Ba
4 2 2
Cartesian
0.273 -2.067 -2.788
3.028 -2.414 -3.843
3.862 -5.019 -4.989
2.752 -5.922 -7.591
1.645 -1.251 -3.657
4.411 -3.578 -4.029
0.000 0.000 0.000
0.546 -4.134 -5.577
```

Record 12
# CeSm2YSe4

Crystalline CeSm2YSe4 at its relaxed geometry (PBE, the Alexandria database).

Calculated values
As for the spin magnetization: 0.120 μB/atom. The crystal system is monoclinic. As for the symmetry: P2/m. For the uncorrected energy, the calculation gives -0.4616 Ry per atom. The formation energy (no corrections) is -1809 meV per atom.

Cell and atoms, written as POSCAR:
```
CeSm2YSe4
1.0
-2.939 -1.685 -2.372
-1.589 -4.676 5.291
-4.026 5.915 0.786
Ce Sm Y Se
1 2 1 4
Cartesian
-2.264 -3.181 1.460
-3.482 2.115 -0.793
-2.807 0.619 3.039
0.000 0.000 0.000
-2.844 -0.533 0.298
-5.709 0.087 3.408
-3.414 3.294 1.890
-2.201 -2.055 4.187
```